(i)
# Nd12Dy6Ho, relaxed, DFT PBE
data_Nd12Dy6Ho
_chemical_formula_sum 'Nd12 Dy6 Ho1'
_space_group_name_H-M_alt 'P 1'
_space_group_IT_number 1
_cell_length_a 9.270
_cell_length_b 9.270
_cell_length_c 9.270
_cell_angle_alpha 106.63
_cell_angle_beta 106.63
_cell_angle_gamma 106.63
loop_
_space_group_symop_operation_xyz
'x,y,z'
loop_
_atom_site_label
_atom_site_fract_x
_atom_site_fract_y
_atom_site_fract_z
Nd1 0.174 0.722 0.869
Nd2 0.131 0.826 0.278
Nd3 0.417 0.515 0.808
Nd4 0.722 0.869 0.174
Nd5 0.278 0.131 0.826
Nd6 0.515 0.808 0.417
Nd7 0.485 0.192 0.583
Nd8 0.192 0.583 0.485
Nd9 0.583 0.485 0.192
Nd10 0.826 0.278 0.131
Nd11 0.869 0.174 0.722
Nd12 0.808 0.417 0.515
Dy1 0.191 0.453 0.079
Dy2 0.547 0.921 0.809
Dy3 0.079 0.191 0.453
Dy4 0.921 0.809 0.547
Dy5 0.453 0.079 0.191
Dy6 0.809 0.547 0.921
Ho1 0.000 0.000 0.000
# Volume   669.9 Å³/cell
# SG   R-3


(ii)
# Nd12Dy6Ho, relaxed, DFT PBE
data_Nd12Dy6Ho
_chemical_formula_sum 'Nd12 Dy6 Ho1'
_space_group_name_H-M_alt 'P 1'
_space_group_IT_number 1
_cell_length_a 8.688
_cell_length_b 8.688
_cell_length_c 8.688
_cell_angle_alpha 88.98
_cell_angle_beta 88.98
_cell_angle_gamma 88.98
loop_
_space_group_symop_operation_xyz
'x,y,z'
loop_
_atom_site_label
_atom_site_fract_x
_atom_site_fract_y
_atom_site_fract_z
Nd1 0.362 0.018 0.193
Nd2 0.464 0.567 0.219
Nd3 0.781 0.536 0.433
Nd4 0.219 0.464 0.567
Nd5 0.807 0.638 0.982
Nd6 0.536 0.433 0.781
Nd7 0.982 0.807 0.638
Nd8 0.193 0.362 0.018
Nd9 0.018 0.193 0.362
Nd10 0.433 0.781 0.536
Nd11 0.567 0.219 0.464
Nd12 0.638 0.982 0.807
Ho1 0.000 0.000 0.000
Dy1 0.260 0.099 0.703
Dy2 0.297 0.740 0.901
Dy3 0.740 0.901 0.297
Dy4 0.099 0.703 0.260
Dy5 0.901 0.297 0.740
Dy6 0.703 0.260 0.099
# Volume   655.5 Å³/cell
# SG   R-3


Which of them is most stable? Easy: (ii).


(i)
# Nd5DyHo4, relaxed, DFT PBE
data_Nd5DyHo4
_chemical_formula_sum 'Nd5 Dy1 Ho4'
_space_group_name_H-M_alt 'P 1'
_space_group_IT_number 1
_cell_length_a 3.581
_cell_length_b 11.271
_cell_length_c 8.988
_cell_angle_alpha 111.49
_cell_angle_beta 96.32
_cell_angle_gamma 81.94
loop_
_space_group_symop_operation_xyz
'x,y,z'
loop_
_atom_site_label
_atom_site_fract_x
_atom_site_fract_y
_atom_site_fract_z
Nd1 0.008 0.181 0.791
Nd2 0.992 0.819 0.209
Nd3 0.500 0.500 0.000
Nd4 0.168 0.576 0.382
Nd5 0.832 0.424 0.618
Ho1 0.577 0.879 0.583
Ho2 0.190 0.719 0.797
Ho3 0.810 0.281 0.203
Ho4 0.423 0.121 0.417
Dy1 0.500 0.000 0.000
# Volume   333.5 Å³/cell
# SG   P-1


(ii)
# Nd5DyHo4, relaxed, DFT PBE
data_Nd5DyHo4
_chemical_formula_sum 'Nd10 Dy2 Ho8'
_space_group_name_H-M_alt 'P 1'
_space_group_IT_number 1
_cell_length_a 11.511
_cell_length_b 6.805
_cell_length_c 9.101
_cell_angle_alpha 90.00
_cell_angle_beta 90.00
_cell_angle_gamma 90.00
loop_
_space_group_symop_operation_xyz
'x,y,z'
loop_
_atom_site_label
_atom_site_fract_x
_atom_site_fract_y
_atom_site_fract_z
Ho1 0.994 0.000 0.298
Ho2 0.543 0.753 0.000
Ho3 0.543 0.247 0.000
Ho4 0.006 0.500 0.202
Ho5 0.457 0.747 0.500
Ho6 0.994 0.000 0.702
Ho7 0.457 0.253 0.500
Ho8 0.006 0.500 0.798
Dy1 0.183 0.500 0.500
Dy2 0.817 0.000 0.000
Nd1 0.720 0.752 0.314
Nd2 0.280 0.748 0.186
Nd3 0.720 0.752 0.686
Nd4 0.280 0.748 0.814
Nd5 0.787 0.500 0.000
Nd6 0.720 0.248 0.314
Nd7 0.720 0.248 0.686
Nd8 0.280 0.252 0.814
Nd9 0.280 0.252 0.186
Nd10 0.213 0.000 0.500
# Volume   712.9 Å³/cell
# SG   Pmmn


Which of them is most stable? Easy: (i).


(i)
# NdDyHo4, relaxed, DFT PBE
data_NdDyHo4
_chemical_formula_sum 'Nd1 Dy1 Ho4'
_space_group_name_H-M_alt 'P 1'
_space_group_IT_number 1
_cell_length_a 5.011
_cell_length_b 7.949
_cell_length_c 11.249
_cell_angle_alpha 148.10
_cell_angle_beta 89.92
_cell_angle_gamma 108.43
loop_
_space_group_symop_operation_xyz
'x,y,z'
loop_
_atom_site_label
_atom_site_fract_x
_atom_site_fract_y
_atom_site_fract_z
Nd1 0.500 0.000 0.500
Ho1 0.167 0.334 0.499
Ho2 0.334 0.668 0.001
Ho3 0.833 0.666 0.501
Ho4 0.666 0.331 0.999
Dy1 0.000 0.000 0.000
# Volume   190.1 Å³/cell
# SG   P-1


(ii)
# NdDyHo4, relaxed, DFT PBE
data_NdDyHo4
_chemical_formula_sum 'Nd1 Dy1 Ho4'
_space_group_name_H-M_alt 'P 1'
_space_group_IT_number 1
_cell_length_a 6.576
_cell_length_b 6.576
_cell_length_c 6.576
_cell_angle_alpha 60.00
_cell_angle_beta 60.00
_cell_angle_gamma 60.00
loop_
_space_group_symop_operation_xyz
'x,y,z'
loop_
_atom_site_label
_atom_site_fract_x
_atom_site_fract_y
_atom_site_fract_z
Ho1 0.625 0.625 0.124
Ho2 0.124 0.625 0.625
Ho3 0.625 0.124 0.625
Ho4 0.625 0.625 0.625
Dy1 0.000 0.000 0.000
Nd1 0.250 0.250 0.250
# Volume   201.0 Å³/cell
# SG   F-43m


(iii)
# NdDyHo4, relaxed, DFT PBE
data_NdDyHo4
_chemical_formula_sum 'Nd2 Dy2 Ho8'
_space_group_name_H-M_alt 'P 1'
_space_group_IT_number 1
_cell_length_a 6.815
_cell_length_b 6.815
_cell_length_c 9.876
_cell_angle_alpha 90.00
_cell_angle_beta 90.00
_cell_angle_gamma 121.62
loop_
_space_group_symop_operation_xyz
'x,y,z'
loop_
_atom_site_label
_atom_site_fract_x
_atom_site_fract_y
_atom_site_fract_z
Ho1 0.360 0.155 0.250
Ho2 0.640 0.845 0.750
Ho3 0.346 0.654 0.431
Ho4 0.654 0.346 0.931
Ho5 0.845 0.640 0.250
Ho6 0.346 0.654 0.069
Ho7 0.654 0.346 0.569
Ho8 0.155 0.360 0.750
Dy1 0.000 0.000 0.500
Dy2 0.000 0.000 0.000
Nd1 0.825 0.175 0.250
Nd2 0.175 0.825 0.750
# Volume   390.6 Å³/cell
# SG   Cmcm


Which of them is most stable? Easy: (i).